(1)
## BeCuSnHg (PBE-GGA)

Data for a geometry-optimized BeCuSnHg structure.

Summary:
Raw total energy   -2.48 eV per atom
Space group   F-43m

a = 4.640 Å, b = 4.640 Å, c = 4.640 Å
α = 60.00°, β = 60.00°, γ = 60.00°
Element x y z (fractional)
1 Cu 0.750 0.750 0.750
2 Be 0.250 0.250 0.250
3 Sn 0.000 0.000 0.000
4 Hg 0.500 0.500 0.500

***

(2)
## LiHfPd2 (PBE-GGA)

Data for a geometry-optimized LiHfPd2 structure.

Summary:
Raw total energy   -6.16 eV per atom
Space group   P6_3/mmc

a = 4.230 Å, b = 4.230 Å, c = 8.570 Å
α = 90.00°, β = 90.00°, γ = 120.00°
Element x y z (fractional)
1 Hf 0.667 0.333 0.750
2 Hf 0.333 0.667 0.250
3 Pd 0.667 0.333 0.090
4 Pd 0.667 0.333 0.410
5 Pd 0.333 0.667 0.590
6 Pd 0.333 0.667 0.910
7 Li 0.000 0.000 0.500
8 Li 0.000 0.000 0.000

***

(3)
## LaNdPCl2 (PBE-GGA)

Data for a geometry-optimized LaNdPCl2 structure.

Summary:
Raw total energy   -5.75 eV per atom
Space group   P3m1

a = 4.153 Å, b = 4.153 Å, c = 10.403 Å
α = 90.00°, β = 90.00°, γ = 120.00°
Element x y z (fractional)
1 Cl 0.000 0.000 0.685
2 Cl 0.333 0.667 0.319
3 P 0.667 0.333 0.996
4 La 0.000 0.000 0.156
5 Nd 0.333 0.667 0.843

***

(4)
## Ta3Ni2B (PBE-GGA)

Data for a geometry-optimized Ta3Ni2B structure.

Summary:
Raw total energy   -8.74 eV per atom
Space group   Fmm2

a = 4.578 Å, b = 4.581 Å, c = 5.275 Å
α = 103.89°, β = 103.87°, γ = 116.56°
Element x y z (fractional)
1 Ni 0.221 0.722 0.442
2 Ni 0.721 0.222 0.442
3 Ta 0.145 0.813 0.958
4 Ta 0.336 0.337 0.674
5 Ta 0.812 0.146 0.958
6 B 0.760 0.761 0.521

***

(5)
## ScInAu2 (PBE-GGA)

Data for a geometry-optimized ScInAu2 structure.

Summary:
Raw total energy   -4.53 eV per atom
Space group   I4/mmm

a = 4.815 Å, b = 6.737 Å, c = 14.443 Å
α = 90.00°, β = 90.00°, γ = 90.00°
Element x y z (fractional)
1 Au 0.000 0.250 0.833
2 Au 0.500 0.750 0.333
3 Au 0.500 0.250 0.333
4 Au 0.000 0.750 0.500
5 Au 0.500 0.250 0.000
6 Au 0.000 0.750 0.167
7 Au 0.000 0.250 0.500
8 Au 0.500 0.750 0.667
9 Au 0.500 0.750 0.000
10 Au 0.500 0.250 0.667
11 Au 0.000 0.250 0.167
12 Au 0.000 0.750 0.833
13 Sc 0.500 0.000 0.167
14 Sc 0.000 0.500 0.000
15 Sc 0.500 0.000 0.500
16 Sc 0.000 0.500 0.667
17 Sc 0.500 0.000 0.833
18 Sc 0.000 0.500 0.333
19 In 0.000 0.000 0.333
20 In 0.500 0.500 0.500
21 In 0.000 0.000 0.667
22 In 0.500 0.500 0.833
23 In 0.500 0.500 0.167
24 In 0.000 0.000 0.000

***

(6)
## HfTaPb (PBE-GGA)

Data for a geometry-optimized HfTaPb structure.

Summary:
Raw total energy   -7.57 eV per atom
Space group   F-43m

a = 4.805 Å, b = 4.805 Å, c = 4.805 Å
α = 60.00°, β = 60.00°, γ = 60.00°
Element x y z (fractional)
1 Ta 0.000 0.000 0.000
2 Hf 0.250 0.250 0.250
3 Pb 0.750 0.750 0.750

***

(7)
## SrZn2PbSe2O2 (PBE-GGA)

Data for a geometry-optimized SrZn2PbSe2O2 structure.

Summary:
Raw total energy   -4.46 eV per atom
Space group   P3m1

a = 3.990 Å, b = 3.990 Å, c = 12.130 Å
α = 90.00°, β = 90.00°, γ = 120.00°
Element x y z (fractional)
1 O 0.333 0.667 0.159
2 O 0.333 0.667 0.665
3 Se 0.000 0.000 0.920
4 Se 0.667 0.333 0.426
5 Pb 0.000 0.000 0.228
6 Zn 0.333 0.667 0.506
7 Zn 0.333 0.667 0.999
8 Sr 0.667 0.333 0.722

***

(8)
## BeCdAsO (PBE-GGA)

Data for a geometry-optimized BeCdAsO structure.

Summary:
Raw total energy   -4.18 eV per atom
Space group   P4/nmm

a = 3.653 Å, b = 3.653 Å, c = 9.954 Å
α = 90.00°, β = 90.00°, γ = 90.00°
Element x y z (fractional)
1 As 0.500 0.000 0.708
2 As 0.000 0.500 0.292
3 Cd 0.500 0.500 0.500
4 Cd 0.000 0.000 0.500
5 Be 0.000 0.500 0.003
6 Be 0.500 0.000 0.997
7 O 0.000 0.000 0.000
8 O 0.500 0.500 0.000

***

(9)
## YEr2Mg3Al2Zn (PBE-GGA)

Data for a geometry-optimized YEr2Mg3Al2Zn structure.

Summary:
Raw total energy   -3.54 eV per atom
Space group   Amm2

a = 4.437 Å, b = 7.349 Å, c = 7.349 Å
α = 120.27°, β = 90.00°, γ = 90.00°
Element x y z (fractional)
1 Er 0.000 0.580 0.001
2 Er 0.000 0.001 0.580
3 Mg 0.500 0.759 0.759
4 Mg 0.500 0.241 0.000
5 Mg 0.500 0.000 0.241
6 Al 0.500 0.333 0.668
7 Al 0.500 0.668 0.333
8 Y 0.000 0.421 0.421
9 Zn 0.000 0.997 0.997

***

(10)
## Mg2ZnCoCu4 (PBE-GGA)

Data for a geometry-optimized Mg2ZnCoCu4 structure.

Summary:
Raw total energy   -3.28 eV per atom
Space group   P4/mmm

a = 4.184 Å, b = 4.184 Å, c = 6.026 Å
α = 90.00°, β = 90.00°, γ = 90.00°
Element x y z (fractional)
1 Mg 0.000 0.000 0.000
2 Mg 0.500 0.500 0.500
3 Zn 0.500 0.500 0.000
4 Co 0.000 0.000 0.500
5 Cu 0.500 0.000 0.259
6 Cu 0.000 0.500 0.741
7 Cu 0.500 0.000 0.741
8 Cu 0.000 0.500 0.259

***

(11)
## SmBeOs (PBE-GGA)

Data for a geometry-optimized SmBeOs structure.

Summary:
Raw total energy   -6.26 eV per atom
Space group   F-43m

a = 4.266 Å, b = 4.266 Å, c = 4.266 Å
α = 60.00°, β = 60.00°, γ = 60.00°
Element x y z (fractional)
1 Os 0.250 0.250 0.250
2 Sm 0.750 0.750 0.750
3 Be 0.000 0.000 0.000

***

(12)
## PmGdSO2 (PBE-GGA)

Data for a geometry-optimized PmGdSO2 structure.

Summary:
Raw total energy   -7.83 eV per atom
Space group   P3m1

a = 3.880 Å, b = 3.880 Å, c = 6.695 Å
α = 90.00°, β = 90.00°, γ = 120.00°
Element x y z (fractional)
1 Gd 0.333 0.667 0.718
2 Pm 0.667 0.333 0.279
3 S 0.000 0.000 0.996
4 O 0.667 0.333 0.633
5 O 0.333 0.667 0.374

***

(13)
## ErTmBi (PBE-GGA)

Data for a geometry-optimized ErTmBi structure.

Summary:
Raw total energy   -4.56 eV per atom
Space group   F-43m

a = 5.110 Å, b = 5.110 Å, c = 5.110 Å
α = 60.00°, β = 60.00°, γ = 60.00°
Element x y z (fractional)
1 Tm 0.750 0.750 0.750
2 Bi 0.000 0.000 0.000
3 Er 0.250 0.250 0.250

***

(14)
## Cs2DyPbCl6 (PBE-GGA)

Data for a geometry-optimized Cs2DyPbCl6 structure.

Summary:
Raw total energy   -3.86 eV per atom
Space group   C2/m

a = 8.003 Å, b = 8.003 Å, c = 8.008 Å
α = 120.00°, β = 120.00°, γ = 59.98°
Element x y z (fractional)
1 Cl 0.734 0.267 0.268
2 Cl 0.267 0.267 0.266
3 Cl 0.733 0.266 0.732
4 Cl 0.266 0.733 0.732
5 Cl 0.267 0.734 0.268
6 Cl 0.733 0.733 0.734
7 Cs 0.750 0.750 0.250
8 Cs 0.250 0.250 0.750
9 Pb 0.000 0.000 0.000
10 Dy 0.500 0.500 0.500

***

(15)
## TcBPb2 (PBE-GGA)

Data for a geometry-optimized TcBPb2 structure.

Summary:
Raw total energy   -4.58 eV per atom
Space group   F-43m

a = 4.830 Å, b = 4.830 Å, c = 4.830 Å
α = 60.00°, β = 60.00°, γ = 60.00°
Element x y z (fractional)
1 Pb 0.500 0.500 0.500
2 Pb 0.250 0.250 0.250
3 B 0.750 0.750 0.750
4 Tc 0.000 0.000 0.000

***

(16)
## RbAlPt (PBE-GGA)

Data for a geometry-optimized RbAlPt structure.

Summary:
Raw total energy   -3.15 eV per atom
Space group   F-43m

a = 4.845 Å, b = 4.845 Å, c = 4.845 Å
α = 60.00°, β = 60.00°, γ = 60.00°
Element x y z (fractional)
1 Al 0.000 0.000 0.000
2 Pt 0.250 0.250 0.250
3 Rb 0.750 0.750 0.750

***

(17)
## Y2HoZn3AgHg2 (PBE-GGA)

Data for a geometry-optimized Y2HoZn3AgHg2 structure.

Summary:
Formation energy from the elements   -374 meV per atom
Space group   Amm2

a = 4.042 Å, b = 7.516 Å, c = 7.516 Å
α = 119.89°, β = 90.00°, γ = 90.00°
Element x y z (fractional)
1 Y 0.000 0.595 0.000
2 Y 0.000 0.000 0.595
3 Zn 0.500 0.000 0.247
4 Zn 0.500 0.247 0.000
5 Zn 0.500 0.753 0.753
6 Hg 0.500 0.334 0.665
7 Hg 0.500 0.665 0.334
8 Ag 0.000 0.001 0.001
9 Ho 0.000 0.404 0.404

***

(18)
## Zn2InPd (PBE-GGA)

Data for a geometry-optimized Zn2InPd structure.

Summary:
Raw total energy   -2.78 eV per atom
Space group   F-43m

a = 4.550 Å, b = 4.550 Å, c = 4.550 Å
α = 60.00°, β = 60.00°, γ = 60.00°
Element x y z (fractional)
1 Zn 0.750 0.750 0.750
2 Zn 0.000 0.000 0.000
3 Pd 0.250 0.250 0.250
4 In 0.500 0.500 0.500

***

(19)
## HgBNO (PBE-GGA)

Data for a geometry-optimized HgBNO structure.

Summary:
Raw total energy   -5.63 eV per atom
Space group   Pca2_1

a = 4.342 Å, b = 5.775 Å, c = 7.787 Å
α = 90.00°, β = 90.00°, γ = 90.00°
Element x y z (fractional)
1 O 0.142 0.916 0.542
2 O 0.358 0.416 0.542
3 O 0.642 0.916 0.458
4 O 0.858 0.416 0.458
5 B 0.054 0.429 0.597
6 B 0.446 0.929 0.597
7 B 0.946 0.929 0.403
8 B 0.554 0.429 0.403
9 N 0.008 0.441 0.779
10 N 0.508 0.441 0.221
11 N 0.492 0.941 0.779
12 N 0.992 0.941 0.221
13 Hg 0.980 0.011 0.842
14 Hg 0.020 0.511 0.158
15 Hg 0.480 0.011 0.158
16 Hg 0.520 0.511 0.842

***

(20)
## DyCoIr (PBE-GGA)

Data for a geometry-optimized DyCoIr structure.

Summary:
Formation energy from the elements   -563 meV per atom
Space group   Imma

a = 5.188 Å, b = 5.188 Å, c = 5.188 Å
α = 121.82°, β = 117.45°, γ = 90.67°
Element x y z (fractional)
1 Co 0.000 0.500 0.000
2 Co 0.000 0.000 0.500
3 Dy 0.628 0.878 0.750
4 Dy 0.372 0.122 0.250
5 Ir 0.000 0.500 0.500
6 Ir 0.500 0.500 0.000

***

(21)
## NdMg (PBE-GGA)

Data for a geometry-optimized NdMg structure.

Summary:
Raw total energy   -3.19 eV per atom
Space group   Pmmn

a = 11.799 Å, b = 7.243 Å, c = 5.473 Å
α = 90.00°, β = 90.00°, γ = 90.00°
Element x y z (fractional)
1 Nd 0.926 0.757 0.500
2 Nd 0.025 0.500 0.000
3 Nd 0.926 0.243 0.500
4 Nd 0.741 0.743 0.000
5 Nd 0.476 0.500 0.000
6 Nd 0.741 0.257 0.000
7 Nd 0.190 0.000 0.500
8 Nd 0.641 0.000 0.500
9 Mg 0.420 0.257 0.500
10 Mg 0.468 0.000 0.000
11 Mg 0.247 0.757 0.000
12 Mg 0.012 0.000 0.000
13 Mg 0.199 0.500 0.500
14 Mg 0.420 0.743 0.500
15 Mg 0.247 0.243 0.000
16 Mg 0.654 0.500 0.500

***

(22)
## ZrBe2B (PBE-GGA)

Data for a geometry-optimized ZrBe2B structure.

Summary:
Raw total energy   -5.41 eV per atom
Space group   F-43m

a = 3.975 Å, b = 3.975 Å, c = 3.975 Å
α = 60.00°, β = 60.00°, γ = 60.00°
Element x y z (fractional)
1 Be 0.750 0.750 0.750
2 Be 0.000 0.000 0.000
3 B 0.500 0.500 0.500
4 Zr 0.250 0.250 0.250

***

(23)
## OsO2 (PBE-GGA)

Data for a geometry-optimized OsO2 structure.

Summary:
Raw total energy   -7.71 eV per atom
Space group   Fm-3m

a = 3.429 Å, b = 3.429 Å, c = 3.429 Å
α = 60.00°, β = 60.00°, γ = 60.00°
Element x y z (fractional)
1 Os 0.000 0.000 0.000
2 O 0.250 0.250 0.250
3 O 0.750 0.750 0.750

***

(24)
## ErNbZn (PBE-GGA)

Data for a geometry-optimized ErNbZn structure.

Summary:
Formation energy from the elements   1088 meV per atom
Space group   F-43m

a = 4.731 Å, b = 4.731 Å, c = 4.731 Å
α = 60.00°, β = 60.00°, γ = 60.00°
Element x y z (fractional)
1 Zn 0.750 0.750 0.750
2 Nb 0.250 0.250 0.250
3 Er 0.000 0.000 0.000

***

(25)
## UHgPd (PBE-GGA)

Data for a geometry-optimized UHgPd structure.

Summary:
Formation energy from the elements   84 meV per atom
Space group   F-43m

a = 4.714 Å, b = 4.714 Å, c = 4.714 Å
α = 60.00°, β = 60.00°, γ = 60.00°
Element x y z (fractional)
1 U 0.000 0.000 0.000
2 Hg 0.500 0.500 0.500
3 Pd 0.250 0.250 0.250

***

(26)
## SmScPb (PBE-GGA)

Data for a geometry-optimized SmScPb structure.

Summary:
Raw total energy   -5.38 eV per atom
Space group   P4/nmm

a = 4.496 Å, b = 4.494 Å, c = 8.386 Å
α = 90.00°, β = 90.00°, γ = 90.00°
Element x y z (fractional)
1 Sc 0.250 0.750 0.500
2 Sc 0.750 0.250 0.500
3 Pb 0.750 0.750 0.239
4 Pb 0.250 0.250 0.761
5 Sm 0.750 0.750 0.843
6 Sm 0.250 0.250 0.157